No. 1
Here is an optimized crystal structure of Nd6YHo2Tm from Alexandria via LeMat-Bulk. Energies are from PBE.

a b c (Å): 8.9746 8.9746 9.6360
angles (deg): 93.69 93.69 118.02
Last column: nearest neighbours and their distance in Å.
Positions (direct):
Nd (0.0095, 0.5641, 0.1888)  3 Nd 3.29-3.69, 1 Ho 3.47, 1 Tm 3.47, 1 Y 3.61
Nd (0.1203, 0.7625, 0.5534)  7 Nd 3.45-3.81, 1 Ho 3.49, 2 Y 3.69-3.84
Nd (0.2375, 0.8797, 0.9466)  7 Nd 3.45-3.81, 1 Ho 3.49, 2 Y 3.69-3.84
Nd (0.2905, 0.5068, 0.3824)  3 Ho 3.29-3.47, 4 Nd 3.29-3.67, 2 Tm 3.45-3.56
Nd (0.4359, 0.9905, 0.3112)  3 Nd 3.29-3.69, 1 Ho 3.47, 1 Tm 3.47, 1 Y 3.61
Nd (0.4932, 0.7095, 0.1176)  3 Ho 3.29-3.47, 4 Nd 3.29-3.67, 2 Tm 3.45-3.56
Nd (0.5068, 0.2905, 0.8824)  3 Ho 3.29-3.47, 4 Nd 3.29-3.67, 2 Tm 3.45-3.56
Nd (0.5641, 0.0095, 0.6888)  3 Nd 3.29-3.69, 1 Ho 3.47, 1 Tm 3.47, 1 Y 3.61
Nd (0.7095, 0.4932, 0.6176)  3 Ho 3.29-3.47, 4 Nd 3.29-3.67, 2 Tm 3.45-3.56
Nd (0.7625, 0.1203, 0.0534)  7 Nd 3.45-3.81, 1 Ho 3.49, 2 Y 3.69-3.84
Nd (0.8797, 0.2375, 0.4466)  7 Nd 3.45-3.81, 1 Ho 3.49, 2 Y 3.69-3.84
Nd (0.9905, 0.4359, 0.8112)  3 Nd 3.29-3.69, 1 Ho 3.47, 1 Tm 3.47, 1 Y 3.61
Y (0.0264, 0.9736, 0.2500)  4 Ho 3.44-3.46, 6 Nd 3.61-3.84
Y (0.9736, 0.0264, 0.7500)  4 Ho 3.44-3.46, 6 Nd 3.61-3.84
Ho (0.2010, 0.3023, 0.0455)  5 Nd 3.29-3.49, 2 Y 3.44-3.46, 1 Tm 3.54
Ho (0.3023, 0.2010, 0.5455)  5 Nd 3.29-3.49, 2 Y 3.44-3.46, 1 Tm 3.54
Ho (0.6977, 0.7990, 0.4545)  5 Nd 3.29-3.49, 2 Y 3.44-3.46, 1 Tm 3.54
Ho (0.7990, 0.6977, 0.9545)  5 Nd 3.29-3.49, 2 Y 3.44-3.46, 1 Tm 3.54
Tm (0.4122, 0.5878, 0.7500)  6 Nd 3.45-3.56, 2 Ho 3.54
Tm (0.5878, 0.4122, 0.2500)  6 Nd 3.45-3.56, 2 Ho 3.54

## Properties
DFT total energy (eV/atom): -4.756
Symmetry: C2/c
Calculated formation energy (eV per formula unit): 1.14

---

No. 2
Here is an optimized crystal structure of NdY2Ho6Tm3 from Alexandria via LeMat-Bulk. Energies are from PBE.

a b c (Å): 6.1206 6.1206 11.7238
angles (deg): 94.98 94.98 119.94
Last column: nearest neighbours and their distance in Å.
Positions (direct):
Nd (0.0000, 0.0000, 0.0000)  6 Y 3.53-3.54, 6 Ho 3.57
Y (0.3334, 0.6666, 0.0000)  3 Y 3.53-3.54, 3 Nd 3.53-3.54, 6 Ho 3.57
Y (0.6666, 0.3334, 0.0000)  3 Y 3.53-3.54, 3 Nd 3.53-3.54, 6 Ho 3.57
Ho (0.0854, 0.4187, 0.2537)  3 Tm 3.50, 6 Ho 3.53-3.54, 2 Y 3.57, 1 Nd 3.57
Ho (0.2480, 0.2480, 0.7464)  3 Tm 3.50, 6 Ho 3.53-3.54, 1 Nd 3.57, 2 Y 3.57
Ho (0.4187, 0.0854, 0.2537)  3 Tm 3.50, 6 Ho 3.53-3.54, 2 Y 3.57, 1 Nd 3.57
Ho (0.5813, 0.9146, 0.7463)  3 Tm 3.50, 6 Ho 3.53-3.54, 2 Y 3.57, 1 Nd 3.57
Ho (0.7520, 0.7520, 0.2536)  3 Tm 3.50, 6 Ho 3.53-3.54, 1 Nd 3.57, 2 Y 3.57
Ho (0.9146, 0.5813, 0.7463)  3 Tm 3.50, 6 Ho 3.53-3.54, 2 Y 3.57, 1 Nd 3.57
Tm (0.1670, 0.8330, 0.5000)  6 Ho 3.50, 6 Tm 3.53-3.54
Tm (0.5000, 0.5000, 0.5000)  6 Ho 3.50, 6 Tm 3.53-3.54
Tm (0.8330, 0.1670, 0.5000)  6 Ho 3.50, 6 Tm 3.53-3.54

## Properties
DFT total energy (eV/atom): -4.858
Symmetry: C2/m
Calculated formation energy (eV per formula unit): 0.28

---

No. 3
Here is an optimized crystal structure of NdYHo3Tm from Alexandria via LeMat-Bulk. Energies are from PBE.

a b c (Å): 9.6565 9.6565 7.3359
angles (deg): 90.27 90.27 34.54
Last column: nearest neighbours and their distance in Å.
Positions (direct):
Nd (0.0377, 0.0377, 0.2520)  3 Ho 3.08-3.27
Nd (0.9623, 0.9623, 0.7480)  3 Ho 3.08-3.27
Y (0.3518, 0.3518, 0.9633)  1 Tm 3.10, 2 Ho 3.14-3.30
Y (0.6482, 0.6482, 0.0367)  1 Tm 3.10, 2 Ho 3.14-3.30
Ho (0.1720, 0.1720, 0.7454)  4 Ho 3.55-3.79, 3 Tm 3.58-3.63, 3 Y 3.60-3.67, 1 Nd 3.87
Ho (0.2149, 0.2149, 0.2517)  1 Nd 3.27, 3 Tm 3.28-3.47, 3 Y 3.30-3.49, 2 Ho 3.55
Ho (0.4770, 0.4770, 0.2556)  2 Nd 3.08, 1 Tm 3.14, 1 Y 3.14
Ho (0.5230, 0.5230, 0.7444)  2 Nd 3.08, 1 Tm 3.14, 1 Y 3.14
Ho (0.7851, 0.7851, 0.7483)  1 Nd 3.27, 3 Tm 3.28-3.47, 3 Y 3.30-3.49, 2 Ho 3.55
Ho (0.8280, 0.8280, 0.2546)  4 Ho 3.55-3.79, 3 Tm 3.58-3.63, 3 Y 3.60-3.67, 1 Nd 3.87
Tm (0.3509, 0.3509, 0.5408)  1 Y 3.10, 4 Ho 3.14-3.47
Tm (0.6491, 0.6491, 0.4592)  1 Y 3.10, 4 Ho 3.14-3.47

## Properties
DFT total energy (eV/atom): -4.711
Symmetry: C2/m
Calculated formation energy (eV per formula unit): 1.17

---

No. 4
Here is an optimized crystal structure of NdY3Ho2Tm6 from Alexandria via LeMat-Bulk. Energies are from PBE.

a b c (Å): 6.1140 6.1140 11.6947
angles (deg): 94.99 94.99 119.94
Last column: nearest neighbours and their distance in Å.
Positions (direct):
Nd (0.0000, 0.0000, 0.0000)  6 Tm 3.53, 6 Ho 3.53
Y (0.1669, 0.8331, 0.5000)  6 Tm 3.53, 6 Y 3.53
Y (0.5000, 0.5000, 0.5000)  6 Y 3.53, 6 Tm 3.53
Y (0.8331, 0.1669, 0.5000)  6 Tm 3.53, 6 Y 3.53
Ho (0.3333, 0.6667, 0.0000)  6 Tm 3.52-3.53, 3 Nd 3.53, 3 Ho 3.53
Ho (0.6667, 0.3333, 0.0000)  6 Tm 3.52-3.53, 3 Nd 3.53, 3 Ho 3.53
Tm (0.0836, 0.4175, 0.2499)  2 Ho 3.52-3.53, 3 Y 3.53, 6 Tm 3.53-3.54, 1 Nd 3.53
Tm (0.2504, 0.2504, 0.7503)  2 Ho 3.52, 1 Nd 3.53, 6 Tm 3.53-3.54, 3 Y 3.53
Tm (0.4175, 0.0836, 0.2499)  2 Ho 3.52-3.53, 3 Y 3.53, 6 Tm 3.53-3.54, 1 Nd 3.53
Tm (0.5825, 0.9164, 0.7501)  2 Ho 3.52-3.53, 3 Y 3.53, 6 Tm 3.53-3.54, 1 Nd 3.53
Tm (0.7496, 0.7496, 0.2497)  2 Ho 3.52, 1 Nd 3.53, 6 Tm 3.53-3.54, 3 Y 3.53
Tm (0.9164, 0.5825, 0.7501)  2 Ho 3.52-3.53, 3 Y 3.53, 6 Tm 3.53-3.54, 1 Nd 3.53

## Properties
DFT total energy (eV/atom): -4.986
Symmetry: C2/m
Calculated formation energy (eV per formula unit): 0.31

---

Going through the records in order, we get Fermi-level density of states values of 28.223; 16.473; 17.984; 17.111 states/eV/cell.